## NdCd11Pb (PBE)

Data for crystalline NdCd11Pb at its relaxed geometry.

Values from the calculation:
* E_form: -58 meV/atom
* energy: -1.484 eV/atom
* magnetic moment: 0.00 μB/f.u.

Geometry as CIF:
```
data_NdCd11Pb
_chemical_formula_sum 'Nd2 Cd22 Pb2'
_space_group_name_H-M_alt 'C 1 2/m 1'
_space_group_IT_number 12
_space_group_name_Hall '-C 2y'
_cell_length_a 6.437
_cell_length_b 14.118
_cell_length_c 7.656
_cell_angle_alpha 90.00
_cell_angle_beta 114.39
_cell_angle_gamma 90.00
loop_
_atom_site_label
_atom_site_fract_x
_atom_site_fract_y
_atom_site_fract_z
_atom_site_occupancy
Nd1 0.000 0.000 0.000 1
Cd1 0.000 0.500 0.500 1
Cd2 0.084 0.392 0.209 1
Cd3 0.190 0.178 0.348 1
Cd4 0.250 0.250 0.000 1
Pb1 0.000 0.000 0.500 1
```